Below is a geometry-optimized LiDyCoTe3 structure, with properties calculated at the PBE level.

Structure (CIF):
```
data_LiDyCoTe3
_cell_length_a 4.0907
_cell_length_b 14.1808
_cell_length_c 11.2743
_cell_angle_alpha 90.00
_cell_angle_beta 90.00
_cell_angle_gamma 90.00
_space_group_name_H-M_alt 'C m c m'
_space_group_IT_number 63
_space_group_name_Hall '-C 2c 2'
loop_
_atom_site_label
_atom_site_fract_x
_atom_site_fract_y
_atom_site_fract_z
_atom_site_occupancy
Li1 0.0000 0.1821 0.2500 1
Dy1 0.0000 0.0000 0.0000 1
Co1 0.0000 0.4746 0.7500 1
Te1 0.0000 0.0844 0.7500 1
Te2 0.0000 0.3536 0.5772 1
```



Below is a geometry-optimized Pr3Gd3CoTe2 structure, with properties calculated at the PBE level.

Results
The energy above the most stable polymorph in this dataset is 0.0 meV/atom.

Structure (CIF):
```
data_Pr3Gd3CoTe2
_cell_length_a 8.5812
_cell_length_b 8.5812
_cell_length_c 4.0197
_cell_angle_alpha 90.00
_cell_angle_beta 90.00
_cell_angle_gamma 120.00
_space_group_name_H-M_alt 'P -6 2 m'
_space_group_IT_number 189
_space_group_name_Hall 'P -6 -2'
loop_
_atom_site_label
_atom_site_fract_x
_atom_site_fract_y
_atom_site_fract_z
_atom_site_occupancy
Pr1 0.0000 0.5940 0.0000 1
Gd1 0.0000 0.2329 0.5000 1
Co1 0.0000 0.0000 0.0000 1
Te1 0.3333 0.6667 0.5000 1
```



Calculated calculated total energy, -27.48, -47.96 eV per formula unit (same order as the records).